[1]
# GGA-PBE SmMgAlTl, optimized geometry
# calculated density = 6.88 g/cm3
# ΔE_f = -0.172 eV/atom
# V = 24.52 Å³/atom
data_SmMgAlTl
_cell_length_a 5.176
_cell_length_b 5.176
_cell_length_c 5.176
_cell_angle_alpha 60.00
_cell_angle_beta 60.00
_cell_angle_gamma 60.00
_symmetry_space_group_name_H-M 'P 1'
_symmetry_Int_Tables_number 1
_symmetry_space_group_name_Hall 'P 1'
loop_
_atom_site_label
_atom_site_type_symbol
_atom_site_fract_x
_atom_site_fract_y
_atom_site_fract_z
Al1 Al 0.250 0.250 0.250
Sm1 Sm 0.500 0.500 0.500
Mg1 Mg 0.000 0.000 0.000
Tl1 Tl 0.750 0.750 0.750


[2]
# GGA-PBE SmTmMgAl, optimized geometry
# calculated density = 6.14 g/cm3
# ΔE_f = -0.261 eV/atom
# V = 25.07 Å³/atom
data_SmTmMgAl
_cell_length_a 5.215
_cell_length_b 5.215
_cell_length_c 5.215
_cell_angle_alpha 60.00
_cell_angle_beta 60.00
_cell_angle_gamma 60.00
_symmetry_space_group_name_H-M 'P 1'
_symmetry_Int_Tables_number 1
_symmetry_space_group_name_Hall 'P 1'
loop_
_atom_site_label
_atom_site_type_symbol
_atom_site_fract_x
_atom_site_fract_y
_atom_site_fract_z
Mg1 Mg 0.250 0.250 0.250
Tm1 Tm 0.500 0.500 0.500
Sm1 Sm 0.000 0.000 0.000
Al1 Al 0.750 0.750 0.750


[3]
# GGA-PBE SmMgAl2Zn4, optimized geometry
# calculated density = 5.53 g/cm3
# ΔE_f = -0.178 eV/atom
# V = 18.41 Å³/atom
data_SmMgAl2Zn4
_cell_length_a 4.429
_cell_length_b 4.429
_cell_length_c 9.038
_cell_angle_alpha 75.82
_cell_angle_beta 75.82
_cell_angle_gamma 60.00
_symmetry_space_group_name_H-M 'P 1'
_symmetry_Int_Tables_number 1
_symmetry_space_group_name_Hall 'P 1'
loop_
_atom_site_label
_atom_site_type_symbol
_atom_site_fract_x
_atom_site_fract_y
_atom_site_fract_z
Zn1 Zn 0.395 0.395 0.816
Al1 Al 0.245 0.245 0.265
Zn2 Zn 0.125 0.125 0.626
Zn3 Zn 0.875 0.875 0.374
Sm1 Sm 0.000 0.000 0.000
Mg1 Mg 0.500 0.500 0.500
Zn4 Zn 0.605 0.605 0.184
Al2 Al 0.755 0.755 0.735